Entry 1:
ZrU3Sb5 | GGA-PBE | relaxed

Cell lengths 9.230, 9.230, 6.201 Å; angles 90.00, 90.00, 120.00 degrees
Element x y z (fractional)
Zr  0.000  0.000  0.000
Zr  0.000  0.000  0.500
U  0.000  0.387  0.250
U  0.000  0.613  0.750
U  0.387  0.000  0.250
U  0.387  0.387  0.750
U  0.613  0.000  0.750
U  0.613  0.613  0.250
Sb  0.000  0.272  0.750
Sb  0.000  0.728  0.250
Sb  0.272  0.000  0.750
Sb  0.272  0.272  0.250
Sb  0.333  0.667  0.000
Sb  0.333  0.667  0.500
Sb  0.667  0.333  0.000
Sb  0.667  0.333  0.500
Sb  0.728  0.000  0.250
Sb  0.728  0.728  0.750

Values from the calculation:
* calculated volume: 25.42 Å³/atom
* calculated total energy: -66.88 eV/f.u.
* density: 10.3 g/cm³

Entry 2:
V3Sb | GGA-PBE | relaxed

Cell lengths 4.933, 4.933, 4.933 Å; angles 133.94, 133.94, 67.18 degrees
Element x y z (fractional)
V  0.000  0.000  0.000
V  0.250  0.750  0.500
V  0.750  0.250  0.500
Sb  0.500  0.500  0.000

Values from the calculation:
* calculated volume: 15.30 Å³/atom
* polymorph energy (0 for the lowest one): 80 kJ/mol of formula units
* calculated total energy: -31.52 eV/f.u.
* density: 7.4 g/cm³

Entry 3:
V3Sb | GGA-PBE | relaxed

Cell lengths 6.093, 6.093, 6.093 Å; angles 145.40, 145.40, 49.75 degrees
Element x y z (fractional)
V  0.000  0.000  0.000
V  0.269  0.269  0.000
V  0.731  0.731  0.000
Sb  0.500  0.500  0.000

Values from the calculation:
* calculated volume: 18.16 Å³/atom
* polymorph energy (0 for the lowest one): 394 kJ/mol of formula units
* calculated total energy: -28.26 eV/f.u.
* density: 6.3 g/cm³

Entry 4:
V4Sb | GGA-PBE | relaxed

Cell lengths 4.847, 4.847, 4.847 Å; angles 90.00, 90.00, 90.00 degrees
Element x y z (fractional)
V  0.000  0.000  0.000
V  0.000  0.500  0.500
V  0.500  0.000  0.500
V  0.500  0.500  0.000
Sb  0.500  0.500  0.500

Values from the calculation:
* calculated volume: 22.78 Å³/atom
* polymorph energy (0 for the lowest one): 640 kJ/mol of formula units
* calculated total energy: -32.56 eV/f.u.
* density: 4.7 g/cm³

Entry 5:
V3Sb | GGA-PBE | relaxed

Cell lengths 4.934, 4.934, 4.934 Å; angles 90.00, 90.00, 90.00 degrees
Element x y z (fractional)
V  0.000  0.250  0.500
V  0.000  0.750  0.500
V  0.250  0.500  0.000
V  0.500  0.000  0.250
V  0.500  0.000  0.750
V  0.750  0.500  0.000
Sb  0.000  0.000  0.000
Sb  0.500  0.500  0.500

Values from the calculation:
* calculated volume: 15.02 Å³/atom
* polymorph energy (0 for the lowest one): 0 kJ/mol of formula units
* calculated total energy: -32.35 eV/f.u.
* density: 7.6 g/cm³

Entry 6:
V13Sb2 | GGA-PBE | relaxed

Cell lengths 7.713, 7.713, 7.713 Å; angles 52.22, 52.22, 52.22 degrees
Element x y z (fractional)
V  0.000  0.000  0.000
V  0.131  0.131  0.499
V  0.131  0.499  0.131
V  0.244  0.244  0.637
V  0.244  0.637  0.244
V  0.363  0.756  0.756
V  0.499  0.131  0.131
V  0.501  0.869  0.869
V  0.637  0.244  0.244
V  0.756  0.363  0.756
V  0.756  0.756  0.363
V  0.869  0.501  0.869
V  0.869  0.869  0.501
Sb  0.136  0.136  0.136
Sb  0.864  0.864  0.864

Values from the calculation:
* calculated volume: 17.68 Å³/atom
* calculated total energy: -118.48 eV/f.u.
* density: 5.7 g/cm³

Entry 7:
V5Sb4 | GGA-PBE | relaxed

Cell lengths 7.196, 7.196, 7.196 Å; angles 93.29, 93.29, 152.27 degrees
Element x y z (fractional)
V  0.000  0.000  0.000
V  0.318  0.615  0.933
V  0.385  0.318  0.703
V  0.615  0.682  0.297
V  0.682  0.385  0.067
Sb  0.062  0.710  0.772
Sb  0.290  0.062  0.353
Sb  0.710  0.938  0.647
Sb  0.938  0.290  0.228

Values from the calculation:
* calculated volume: 18.70 Å³/atom
* calculated total energy: -63.33 eV/f.u.
* density: 7.3 g/cm³

Entry 8:
VSb3 | GGA-PBE | relaxed

Cell lengths 5.610, 5.610, 5.610 Å; angles 143.04, 75.11, 117.25 degrees
Element x y z (fractional)
V  0.000  0.000  0.000
Sb  0.071  0.761  0.310
Sb  0.450  0.761  0.690
Sb  0.659  0.159  0.500

Values from the calculation:
* calculated volume: 23.10 Å³/atom
* calculated total energy: -21.06 eV/f.u.
* density: 7.5 g/cm³

Entry 9:
V3Sb4 | GGA-PBE | relaxed

Cell lengths 6.734, 6.734, 5.480 Å; angles 106.19, 106.19, 37.37 degrees
Element x y z (fractional)
V  0.000  0.000  0.000
V  0.212  0.212  0.367
V  0.788  0.788  0.633
Sb  0.173  0.173  0.826
Sb  0.434  0.434  0.682
Sb  0.566  0.566  0.318
Sb  0.827  0.827  0.174

Values from the calculation:
* calculated volume: 20.59 Å³/atom
* calculated total energy: -44.48 eV/f.u.
* density: 7.4 g/cm³

Entry 10:
V4Sb | GGA-PBE | relaxed

Cell lengths 5.461, 6.192, 4.569 Å; angles 90.00, 90.00, 90.00 degrees
Element x y z (fractional)
V  0.024  0.179  0.000
V  0.210  0.015  0.500
V  0.290  0.515  0.000
V  0.476  0.679  0.500
V  0.524  0.321  0.500
V  0.710  0.485  0.000
V  0.790  0.985  0.500
V  0.976  0.821  0.000
Sb  0.000  0.500  0.500
Sb  0.500  0.000  0.000

Values from the calculation:
* calculated volume: 15.45 Å³/atom
* polymorph energy (0 for the lowest one): 0 kJ/mol of formula units
* calculated total energy: -39.19 eV/f.u.
* density: 7.0 g/cm³

Entry 11:
V2Sb3 | GGA-PBE | relaxed

Cell lengths 6.970, 3.417, 9.127 Å; angles 90.00, 100.33, 90.00 degrees
Element x y z (fractional)
V  0.138  0.250  0.149
V  0.311  0.250  0.499
V  0.689  0.750  0.501
V  0.862  0.750  0.851
Sb  0.022  0.750  0.352
Sb  0.241  0.750  0.957
Sb  0.471  0.750  0.714
Sb  0.529  0.250  0.286
Sb  0.759  0.250  0.043
Sb  0.978  0.250  0.648

Values from the calculation:
* calculated volume: 21.39 Å³/atom
* calculated total energy: -30.28 eV/f.u.
* density: 7.3 g/cm³

Entry 12:
V3Sb | GGA-PBE | relaxed

Cell lengths 3.936, 3.936, 3.936 Å; angles 90.00, 90.00, 90.00 degrees
Element x y z (fractional)
V  0.000  0.000  0.500
V  0.000  0.500  0.000
V  0.500  0.000  0.000
Sb  0.500  0.500  0.500

Values from the calculation:
* calculated volume: 15.25 Å³/atom
* polymorph energy (0 for the lowest one): 59 kJ/mol of formula units
* calculated total energy: -31.74 eV/f.u.
* density: 7.5 g/cm³

What formation energy from raw total energies values result from the calculations? In sequence: -372 -4 310 776 -84 801 -120 41 -61 136 32 -25 kJ/mol of formula units.